Entry 1:
A geometry-optimized In2CCl2 structure, computed with GGA-PBE.

Cell: 6.1437 6.1437 8.3019 Å, 90.00 90.00 90.00°
Space group I4/mmm (No. 139)
One atom of each set of equivalent atoms:
1 In 0.0000 0.5000 0.2500 (multiplicity 4)
2 C 0.0000 0.0000 0.0000 (multiplicity 2)
3 Cl 0.0000 0.0000 0.2892 (multiplicity 4)

Calculated values
Calculated volume, Å³ per cell: 313.4
Spin magnetization, μB/f.u.: 2.00
Formation energy without anion corrections, eV/f.u.: 3.84

---

Entry 2:
A geometry-optimized Tb5Hg2Te structure, computed with GGA-PBE.

Cell: 8.3656 8.3656 12.8857 Å, 90.00 90.00 90.00°
Space group I4/mcm (No. 140)
One atom of each set of equivalent atoms:
1 Tb 0.0000 0.0000 0.0000 (multiplicity 4)
2 Tb 0.1534 0.3466 0.1475 (multiplicity 16)
3 Hg 0.1410 0.3590 0.5000 (multiplicity 8)
4 Te 0.0000 0.0000 0.2500 (multiplicity 4)

Calculated values
Calculated volume, Å³ per cell: 901.8
Spin magnetization, μB/f.u.: 0.00
Formation energy without anion corrections, eV/f.u.: -4.43

---

Entry 3:
A geometry-optimized Cd2Cu structure, computed with GGA-PBE.

Cell: 3.0561 3.0561 20.6780 Å, 90.00 90.00 120.00°
Space group R3m (No. 160, hexagonal axes)
One atom of each set of equivalent atoms:
1 Cd 0.0000 0.0000 0.0000 (multiplicity 3)
2 Cd 0.0000 0.0000 0.2055 (multiplicity 3)
3 Cu 0.0000 0.0000 0.7695 (multiplicity 3)

Calculated values
Energy of formation from the pure elements, eV/atom: 0.085
Calculated volume, Å³ per cell: 167.2
Spin magnetization, μB/f.u.: 0.00

---

Entry 4:
A geometry-optimized CaRu2Au structure, computed with GGA-PBE.

Cell: 4.2070 4.2070 7.8067 Å, 90.00 90.00 90.00°
Space group I-4m2 (No. 119)
One atom of each set of equivalent atoms:
1 Ca 0.0000 0.0000 0.0000 (multiplicity 2)
2 Ru 0.0000 0.0000 0.5000 (multiplicity 2)
3 Ru 0.0000 0.5000 0.7500 (multiplicity 2)
4 Au 0.0000 0.5000 0.2500 (multiplicity 2)

Calculated values
Energy above the most stable polymorph in this dataset, eV/atom: 0.2052
Energy of formation from the pure elements, eV/atom: 0.304
Calculated volume, Å³ per cell: 138.2
Spin magnetization, μB/f.u.: 0.00

---

Entry 5:
A geometry-optimized Na6Bi2O structure, computed with GGA-PBE.

Cell: 7.0245 7.0291 11.9866 Å, 90.00 125.82 90.00°
Space group P2_1/c (No. 14)
One atom of each set of equivalent atoms:
1 Na 0.2260 0.2270 0.9999 (multiplicity 4)
2 Na 0.2272 0.7260 0.5000 (multiplicity 4)
3 Na 0.2304 0.0000 0.2308 (multiplicity 4)
4 Bi 0.2502 0.0000 0.7499 (multiplicity 4)
5 O 0.0000 0.0000 0.0000 (multiplicity 2)

Calculated values
Calculated volume, Å³ per cell: 479.9
Spin magnetization, μB/f.u.: 0.00
Formation energy without anion corrections, eV/f.u.: -4.93

---

Entry 6:
A geometry-optimized MgPd12Pb3 structure, computed with GGA-PBE.

Cell: 4.0773 4.0773 16.2812 Å, 90.00 90.00 90.00°
Space group P4/mmm (No. 123)
One atom of each set of equivalent atoms:
1 Mg 0.0000 0.0000 0.0000 (multiplicity 1)
2 Pd 0.0000 0.5000 0.1182 (multiplicity 4)
3 Pd 0.0000 0.5000 0.3728 (multiplicity 4)
4 Pd 0.5000 0.5000 0.0000 (multiplicity 1)
5 Pd 0.5000 0.5000 0.2468 (multiplicity 2)
6 Pd 0.5000 0.5000 0.5000 (multiplicity 1)
7 Pb 0.0000 0.0000 0.2442 (multiplicity 2)
8 Pb 0.0000 0.0000 0.5000 (multiplicity 1)

Calculated values
Energy of formation from the pure elements, eV/atom: -0.330
Calculated volume, Å³ per cell: 270.7
Spin magnetization, μB/f.u.: 0.00

---

Entry 7:
A geometry-optimized YBi2O4F structure, computed with GGA-PBE.

Cell: 3.8479 3.8479 8.6266 Å, 90.00 90.00 90.00°
Space group P4/mmm (No. 123)
One atom of each set of equivalent atoms:
1 Y 0.0000 0.0000 0.0000 (multiplicity 1)
2 Bi 0.5000 0.5000 0.2951 (multiplicity 2)
3 O 0.0000 0.5000 0.1624 (multiplicity 4)
4 F 0.0000 0.0000 0.5000 (multiplicity 1)

Calculated values
Calculated volume, Å³ per cell: 127.7
Spin magnetization, μB/f.u.: 0.00
Formation energy without anion corrections, eV/f.u.: -17.37

---

Entry 8:
A geometry-optimized Ca4InCu structure, computed with GGA-PBE.

Cell: 9.3838 9.3838 9.3838 Å, 90.00 90.00 90.00°
Space group F-43m (No. 216)
One atom of each set of equivalent atoms:
1 Ca 0.1248 0.1248 0.1248 (multiplicity 16)
2 In 0.2500 0.2500 0.7500 (multiplicity 4)
3 Cu 0.0000 0.0000 0.5000 (multiplicity 4)

Calculated values
Energy above the most stable polymorph in this dataset, eV/atom: 0.6476
Energy of formation from the pure elements, eV/atom: 0.452
Calculated volume, Å³ per cell: 826.3
Spin magnetization, μB/f.u.: 0.00

---

Entry 9:
A geometry-optimized ZnPb2Se structure, computed with GGA-PBE.

Cell: 3.9884 6.0852 8.8825 Å, 90.00 90.00 90.00°
Space group Cmm2 (No. 35)
One atom of each set of equivalent atoms:
1 Zn 0.0000 0.0000 0.0000 (multiplicity 2)
2 Pb 0.0000 0.0000 0.4317 (multiplicity 2)
3 Pb 0.0000 0.5000 0.7516 (multiplicity 2)
4 Se 0.0000 0.5000 0.1619 (multiplicity 2)

Calculated values
Energy above the most stable polymorph in this dataset, eV/atom: 0.1370
Calculated volume, Å³ per cell: 215.6
Spin magnetization, μB/f.u.: 0.00
Formation energy without anion corrections, eV/f.u.: -0.07

---

Entry 10:
A geometry-optimized PmCu7Ni5 structure, computed with GGA-PBE.

Cell: 4.8174 8.3662 8.3661 Å, 90.00 90.00 90.00°
Space group Imm2 (No. 44)
One atom of each set of equivalent atoms:
1 Pm 0.0000 0.0000 0.0000 (multiplicity 2)
2 Cu 0.0000 0.0000 0.3542 (multiplicity 2)
3 Cu 0.0000 0.0000 0.6505 (multiplicity 2)
4 Cu 0.0000 0.2758 0.5033 (multiplicity 4)
5 Cu 0.0000 0.3535 0.0050 (multiplicity 4)
6 Cu 0.0000 0.5000 0.7296 (multiplicity 2)
7 Ni 0.0000 0.5000 0.2784 (multiplicity 2)
8 Ni 0.2498 0.2481 0.7537 (multiplicity 8)

Calculated values
Energy of formation from the pure elements, eV/atom: -0.107
Calculated volume, Å³ per cell: 337.2
Spin magnetization, μB/f.u.: 0.00

---

Entry 11:
A geometry-optimized KTbCdS3 structure, computed with GGA-PBE.

Cell: 8.6278 4.1394 10.0219 Å, 90.00 107.25 90.00°
Space group P2_1/m (No. 11)
One atom of each set of equivalent atoms:
1 K 0.2083 0.2500 0.2177 (multiplicity 2)
2 Tb 0.3310 0.7500 0.8641 (multiplicity 2)
3 Cd 0.0853 0.2500 0.6115 (multiplicity 2)
4 S 0.1110 0.2500 0.8663 (multiplicity 2)
5 S 0.2255 0.7500 0.5488 (multiplicity 2)
6 S 0.4597 0.7500 0.1442 (multiplicity 2)

Calculated values
Calculated volume, Å³ per cell: 341.8
Spin magnetization, μB/f.u.: 0.00
Formation energy without anion corrections, eV/f.u.: -8.36

---

Entry 12:
A geometry-optimized DyHo8In6 structure, computed with GGA-PBE.

Cell: 8.9957 8.9957 19.3968 Å, 90.00 90.00 120.00°
Space group R-3 (No. 148, hexagonal axes)
One atom of each set of equivalent atoms:
1 Dy 0.0000 0.0000 0.0000 (multiplicity 3)
2 Ho 0.0000 0.0000 0.3334 (multiplicity 6)
3 Ho 0.0003 0.3331 0.2204 (multiplicity 18)
4 In 0.0003 0.3332 0.3929 (multiplicity 18)

Calculated values
Energy of formation from the pure elements, eV/atom: -0.206
Calculated volume, Å³ per cell: 1359.3
Spin magnetization, μB/f.u.: 0.00

---

Entry 13:
A geometry-optimized InCo2Tc structure, computed with GGA-PBE.

Cell: 4.1171 2.7579 9.7117 Å, 90.00 90.00 90.00°
Space group Amm2 (No. 38)
One atom of each set of equivalent atoms:
1 In 0.0000 0.0000 0.0000 (multiplicity 2)
2 Co 0.0000 0.0000 0.2621 (multiplicity 2)
3 Co 0.5000 0.0000 0.4005 (multiplicity 2)
4 Tc 0.5000 0.0000 0.6738 (multiplicity 2)

Calculated values
Energy above the most stable polymorph in this dataset, eV/atom: 0.1028
Energy of formation from the pure elements, eV/atom: 0.249
Calculated volume, Å³ per cell: 110.3
Spin magnetization, μB/f.u.: 0.00

---

Entry 14:
A geometry-optimized LuHfRh2 structure, computed with GGA-PBE.

Cell: 3.2913 3.2913 6.7444 Å, 90.00 90.00 90.00°
Space group P4/mmm (No. 123)
One atom of each set of equivalent atoms:
1 Lu 0.0000 0.0000 0.0000 (multiplicity 1)
2 Hf 0.0000 0.0000 0.5000 (multiplicity 1)
3 Rh 0.5000 0.5000 0.2681 (multiplicity 2)

Calculated values
Energy of formation from the pure elements, eV/atom: -0.967
Calculated volume, Å³ per cell: 73.1
Spin magnetization, μB/f.u.: 0.00

---

Entry 15:
A geometry-optimized Y2ReSb structure, computed with GGA-PBE.

Cell: 3.4980 3.4980 28.7314 Å, 90.00 90.00 120.00°
Space group R3m (No. 160, hexagonal axes)
One atom of each set of equivalent atoms:
1 Y 0.0000 0.0000 0.0000 (multiplicity 3)
2 Y 0.0000 0.0000 0.2268 (multiplicity 3)
3 Re 0.0000 0.0000 0.4839 (multiplicity 3)
4 Sb 0.0000 0.0000 0.7550 (multiplicity 3)

Calculated values
Calculated volume, Å³ per cell: 304.5
Spin magnetization, μB/f.u.: 0.91
Formation energy without anion corrections, eV/f.u.: 0.97

---

Entry 16:
A geometry-optimized LaDy8Tm4 structure, computed with GGA-PBE.

Cell: 7.2596 7.2596 27.0179 Å, 90.00 90.00 120.00°
Space group R-3m (No. 166, hexagonal axes)
One atom of each set of equivalent atoms:
1 La 0.0000 0.0000 0.0000 (multiplicity 3)
2 Dy 0.0000 0.0000 0.2807 (multiplicity 6)
3 Dy 0.0350 0.5175 0.2675 (multiplicity 18)
4 Tm 0.0000 0.0000 0.5000 (multiplicity 3)
5 Tm 0.0000 0.5000 0.5000 (multiplicity 9)

Calculated values
Energy of formation from the pure elements, eV/atom: 0.188
Calculated volume, Å³ per cell: 1233.1
Spin magnetization, μB/f.u.: 0.00

---

Entry 17:
A geometry-optimized LaSi4Br structure, computed with GGA-PBE.

Cell: 7.7119 7.7119 7.7119 Å, 90.00 90.00 90.00°
Space group F-43m (No. 216)
One atom of each set of equivalent atoms:
1 La 0.0000 0.0000 0.0000 (multiplicity 4)
2 Si 0.1212 0.1212 0.6212 (multiplicity 16)
3 Br 0.2500 0.2500 0.2500 (multiplicity 4)

Calculated values
Calculated volume, Å³ per cell: 458.7
Spin magnetization, μB/f.u.: 0.00
Formation energy without anion corrections, eV/f.u.: -0.99

---

Entry 18:
A geometry-optimized InIrW2 structure, computed with GGA-PBE.

Cell: 4.6271 3.0058 4.9538 Å, 90.00 104.07 90.00°
Space group P2/m (No. 10)
One atom of each set of equivalent atoms:
1 In 0.0000 0.0000 0.0000 (multiplicity 1)
2 Ir 0.5000 0.5000 0.0000 (multiplicity 1)
3 W 0.0000 0.5000 0.5000 (multiplicity 1)
4 W 0.5000 0.0000 0.5000 (multiplicity 1)

Calculated values
Energy of formation from the pure elements, eV/atom: 0.345
Calculated volume, Å³ per cell: 66.8
Spin magnetization, μB/f.u.: 0.00

---

Entry 19:
A geometry-optimized CdIn2Se structure, computed with GGA-PBE.

Cell: 3.9932 3.9932 23.0911 Å, 90.00 90.00 120.00°
Space group R3m (No. 160, hexagonal axes)
One atom of each set of equivalent atoms:
1 Cd 0.0000 0.0000 0.0000 (multiplicity 3)
2 In 0.0000 0.0000 0.5150 (multiplicity 3)
3 In 0.0000 0.0000 0.7536 (multiplicity 3)
4 Se 0.0000 0.0000 0.2568 (multiplicity 3)

Calculated values
Energy above the most stable polymorph in this dataset, eV/atom: 0.0009
Calculated volume, Å³ per cell: 318.9
Spin magnetization, μB/f.u.: 0.00
Formation energy without anion corrections, eV/f.u.: -0.77

---

Entry 20:
A geometry-optimized AlTl2SiAg structure, computed with GGA-PBE.

Cell: 5.3041 5.3041 4.9666 Å, 90.00 90.00 90.00°
Space group P4/mmm (No. 123)
One atom of each set of equivalent atoms:
1 Al 0.0000 0.0000 0.0000 (multiplicity 1)
2 Tl 0.0000 0.5000 0.5000 (multiplicity 2)
3 Si 0.0000 0.0000 0.5000 (multiplicity 1)
4 Ag 0.5000 0.5000 0.0000 (multiplicity 1)

Calculated values
Energy above the most stable polymorph in this dataset, eV/atom: 0.0000
Calculated volume, Å³ per cell: 139.7
Spin magnetization, μB/f.u.: 0.00
Formation energy without anion corrections, eV/f.u.: 2.79

---

Entry 21:
A geometry-optimized LiHfAu6 structure, computed with GGA-PBE.

Cell: 9.2788 4.1161 8.3163 Å, 90.00 116.72 90.00°
Space group C2/m (No. 12)
One atom of each set of equivalent atoms:
1 Li 0.0000 0.0000 0.0000 (multiplicity 2)
2 Hf 0.0000 0.0000 0.5000 (multiplicity 2)
3 Au 0.0021 0.5000 0.7541 (multiplicity 4)
4 Au 0.2504 0.0000 0.3742 (multiplicity 4)
5 Au 0.2503 0.0000 0.8764 (multiplicity 4)

Calculated values
Energy of formation from the pure elements, eV/atom: -0.391
Calculated volume, Å³ per cell: 283.7
Spin magnetization, μB/f.u.: 0.00

---

Entry 22:
A geometry-optimized Be2CdCl6 structure, computed with GGA-PBE.

Cell: 12.8642 13.0554 5.9335 Å, 90.00 114.38 90.00°
Space group C2/c (No. 15)
One atom of each set of equivalent atoms:
1 Be 0.2182 0.0743 0.3011 (multiplicity 8)
2 Cd 0.0000 0.2852 0.2500 (multiplicity 4)
3 Cl 0.1135 0.4046 0.6044 (multiplicity 8)
4 Cl 0.1300 0.1957 0.0962 (multiplicity 8)
5 Cl 0.1724 0.0581 0.5907 (multiplicity 8)

Calculated values
Calculated volume, Å³ per cell: 907.7
Spin magnetization, μB/f.u.: 0.00
Formation energy without anion corrections, eV/f.u.: -11.56

---

Entry 23:
A geometry-optimized LaTlPt5 structure, computed with GGA-PBE.

Cell: 9.0148 5.3954 11.2583 Å, 90.00 90.00 90.00°
Space group Pnma (No. 62)
One atom of each set of equivalent atoms:
1 La 0.2489 0.2500 0.0635 (multiplicity 4)
2 Tl 0.1448 0.7500 0.8650 (multiplicity 4)
3 Pt 0.0359 0.7500 0.0907 (multiplicity 4)
4 Pt 0.0687 0.0035 0.3003 (multiplicity 8)
5 Pt 0.0727 0.2500 0.5093 (multiplicity 4)
6 Pt 0.1894 0.2500 0.7325 (multiplicity 4)

Calculated values
Energy of formation from the pure elements, eV/atom: -0.573
Calculated volume, Å³ per cell: 547.6
Spin magnetization, μB/f.u.: 0.00